1.
## NaPdCl6 (GGA-PBE)

Data for NaPdCl6 after structural relaxation.

Geometry as CIF:
```
data_NaPdCl6
_chemical_formula_sum 'Na1 Pd1 Cl6'
_space_group_name_H-M_alt 'P 1'
_space_group_IT_number 1
_cell_length_a 7.4144
_cell_length_b 8.5374
_cell_length_c 6.1267
_cell_angle_alpha 45.83
_cell_angle_beta 66.80
_cell_angle_gamma 55.57
loop_
_space_group_symop_operation_xyz
'x,y,z'
loop_
_atom_site_label
_atom_site_fract_x
_atom_site_fract_y
_atom_site_fract_z
Na1 0.0000 0.0000 0.0000
Cl1 0.7637 0.5065 0.6238
Cl2 0.2363 0.8696 0.6238
Cl3 0.5925 0.7188 0.0000
Cl4 0.7637 0.1304 0.3762
Cl5 0.4075 0.2812 0.0000
Cl6 0.2363 0.4935 0.3762
Pd1 0.5000 0.5000 0.0000
```

ΔE_f (raw): -0.55 eV/atom
Total energy: -22.0 eV per cell
Distance to the lowest polymorph of the same formula: 0.641 kcal/mol of atoms

---

2.
## Na6Pd3Cl14 (GGA-PBE)

Data for Na6Pd3Cl14 after structural relaxation.

Geometry as CIF:
```
data_Na6Pd3Cl14
_chemical_formula_sum 'Na6 Pd3 Cl14'
_space_group_name_H-M_alt 'P 1'
_space_group_IT_number 1
_cell_length_a 6.8396
_cell_length_b 10.2274
_cell_length_c 10.2274
_cell_angle_alpha 120.00
_cell_angle_beta 90.00
_cell_angle_gamma 90.00
loop_
_space_group_symop_operation_xyz
'x,y,z'
loop_
_atom_site_label
_atom_site_fract_x
_atom_site_fract_y
_atom_site_fract_z
Pd1 0.3800 0.3333 0.6667
Pd2 0.8616 0.0000 0.0000
Pd3 0.3460 0.6667 0.3333
Cl1 0.1462 0.8813 0.4749
Cl2 0.5045 0.0000 0.0000
Cl3 0.5480 0.8053 0.2590
Cl4 0.0232 0.3333 0.6667
Cl5 0.5685 0.1708 0.7274
Cl6 0.5685 0.2726 0.4435
Cl7 0.5480 0.7410 0.5463
Cl8 0.0411 0.0304 0.2161
Cl9 0.1462 0.5251 0.4065
Cl10 0.5685 0.5565 0.8292
Cl11 0.5480 0.4537 0.1947
Cl12 0.1462 0.5935 0.1187
Cl13 0.0411 0.1856 0.9696
Cl14 0.0411 0.7839 0.8144
Na1 0.3009 0.2453 0.2171
Na2 0.8045 0.5394 0.5939
Na3 0.3009 0.9719 0.7547
Na4 0.8045 0.0546 0.4606
Na5 0.3009 0.7829 0.0281
Na6 0.8045 0.4061 0.9454
```

ΔE_f (raw): -1.03 eV/atom
Total energy: -73.0 eV per cell

---

3.
## NaPdCl5 (GGA-PBE)

Data for NaPdCl5 after structural relaxation.

Geometry as CIF:
```
data_NaPdCl5
_chemical_formula_sum 'Na2 Pd2 Cl10'
_space_group_name_H-M_alt 'P 1'
_space_group_IT_number 1
_cell_length_a 7.3985
_cell_length_b 7.3985
_cell_length_c 9.8211
_cell_angle_alpha 105.14
_cell_angle_beta 105.14
_cell_angle_gamma 121.30
loop_
_space_group_symop_operation_xyz
'x,y,z'
loop_
_atom_site_label
_atom_site_fract_x
_atom_site_fract_y
_atom_site_fract_z
Cl1 0.2965 0.1480 0.5244
Cl2 0.3520 0.2035 0.9756
Cl3 0.6480 0.7965 0.0244
Cl4 0.3008 0.6152 0.6004
Cl5 0.1152 0.8008 0.1004
Cl6 0.1693 0.3307 0.2500
Cl7 0.8848 0.1992 0.8996
Cl8 0.8307 0.6693 0.7500
Cl9 0.7035 0.8520 0.4756
Cl10 0.6992 0.3848 0.3996
Pd1 0.0000 0.0000 0.0000
Pd2 0.5000 0.5000 0.5000
Na1 0.8201 0.6799 0.2500
Na2 0.1799 0.3201 0.7500
```

ΔE_f (raw): -0.72 eV/atom
Total energy: -41.6 eV per cell
Distance to the lowest polymorph of the same formula: 0.000 kcal/mol of atoms

---

Repeat the third record exactly.
## NaPdCl5 (GGA-PBE)

Data for NaPdCl5 after structural relaxation.

Geometry as CIF:
```
data_NaPdCl5
_chemical_formula_sum 'Na2 Pd2 Cl10'
_space_group_name_H-M_alt 'P 1'
_space_group_IT_number 1
_cell_length_a 7.3985
_cell_length_b 7.3985
_cell_length_c 9.8211
_cell_angle_alpha 105.14
_cell_angle_beta 105.14
_cell_angle_gamma 121.30
loop_
_space_group_symop_operation_xyz
'x,y,z'
loop_
_atom_site_label
_atom_site_fract_x
_atom_site_fract_y
_atom_site_fract_z
Cl1 0.2965 0.1480 0.5244
Cl2 0.3520 0.2035 0.9756
Cl3 0.6480 0.7965 0.0244
Cl4 0.3008 0.6152 0.6004
Cl5 0.1152 0.8008 0.1004
Cl6 0.1693 0.3307 0.2500
Cl7 0.8848 0.1992 0.8996
Cl8 0.8307 0.6693 0.7500
Cl9 0.7035 0.8520 0.4756
Cl10 0.6992 0.3848 0.3996
Pd1 0.0000 0.0000 0.0000
Pd2 0.5000 0.5000 0.5000
Na1 0.8201 0.6799 0.2500
Na2 0.1799 0.3201 0.7500
```

ΔE_f (raw): -0.72 eV/atom
Total energy: -41.6 eV per cell
Distance to the lowest polymorph of the same formula: 0.000 kcal/mol of atoms